First-principles (PBE) data for an optimized crystal structure of Tb2ThCo, as listed in Alexandria.

Cell: 3.4333 3.4333 8.7134 Å, 90.00 90.00 90.00°
Fractional coordinates of all 4 atoms:
Co 0.5000 0.5000 0.0000
Tb 0.0000 0.0000 0.1861
Tb 0.0000 0.0000 0.8139
Th 0.5000 0.5000 0.5000

## Properties
Energy relative to the elements, eV/atom: -0.015
Energy above the most stable polymorph in this dataset, eV per atom: 0.175
Mass density, g cm⁻³: 9.843
Total magnetic moment, μB per cell: 0.6



First-principles (PBE) data for an optimized crystal structure of Pm2AlP, as listed in Alexandria.

Cell: 5.1520 5.1520 5.1520 Å, 60.00 60.00 60.00°
Fractional coordinates of all 4 atoms:
Pm 0.7500 0.7500 0.7500
Pm 0.2500 0.2500 0.2500
Al 0.0000 0.0000 0.0000
P 0.5000 0.5000 0.5000

## Properties
Energy relative to the elements, eV/atom: -0.467
Energy above the most stable polymorph in this dataset, eV per atom: 0.365
Mass density, g cm⁻³: 5.975
Total magnetic moment, μB per cell: 0.0



First-principles (PBE) data for an optimized crystal structure of TePd3Pt, as listed in Alexandria.

Cell: 4.8640 4.8640 4.8640 Å, 90.00 90.00 90.00°
Fractional coordinates of all 5 atoms:
Pd 0.5000 0.0000 0.0000
Pd 0.0000 0.5000 0.0000
Pd 0.0000 0.0000 0.5000
Pt 0.5000 0.5000 0.5000
Te 0.0000 0.0000 0.0000

## Properties
Energy above the most stable polymorph in this dataset, eV per atom: 0.909
Mass density, g cm⁻³: 9.263
Total magnetic moment, μB per cell: 0.0
Uncorrected formation energy, meV per atom: 750.7



First-principles (PBE) data for an optimized crystal structure of AcLu2Cu, as listed in Alexandria.

Cell: 3.5419 3.5419 8.8298 Å, 90.00 90.00 90.00°
Fractional coordinates of all 4 atoms:
Ac 0.5000 0.5000 0.5000
Cu 0.5000 0.5000 0.0000
Lu 0.0000 0.0000 0.1814
Lu 0.0000 0.0000 0.8186

## Properties
Energy relative to the elements, eV/atom: -0.062
Energy above the most stable polymorph in this dataset, eV per atom: 0.000
Mass density, g cm⁻³: 9.601
Total magnetic moment, μB per cell: 0.0



First-principles (PBE) data for an optimized crystal structure of SiSbC, as listed in Alexandria.

Cell: 3.1668 3.1678 11.9226 Å, 98.92 90.21 120.00°
Fractional coordinates of all 6 atoms:
Sb 0.8202 0.8215 0.0229
Sb 0.1026 0.3639 0.7135
Si 0.5863 0.3457 0.2651
Si 0.6700 0.5063 0.4712
C 0.8995 0.9734 0.2154
C 0.0234 0.2118 0.5209

## Properties
Energy above the most stable polymorph in this dataset, eV per atom: 0.103
Mass density, g cm⁻³: 5.277
Total magnetic moment, μB per cell: 0.0
Uncorrected formation energy, meV per atom: 163.2



First-principles (PBE) data for an optimized crystal structure of PuUPa2, as listed in Alexandria.

Cell: 5.0541 5.0541 5.0541 Å, 60.00 60.00 60.00°
Fractional coordinates of all 4 atoms:
Pu 0.0000 0.0000 0.0000
U 0.5000 0.5000 0.5000
Pa 0.7500 0.7500 0.7500
Pa 0.2500 0.2500 0.2500

## Properties
Energy relative to the elements, eV/atom: 0.179
Energy above the most stable polymorph in this dataset, eV per atom: 0.100
Mass density, g cm⁻³: 17.173
Total magnetic moment, μB per cell: 2.6



Total DFT energy (no corrections), record by record: -5.962, -5.131, -4.201, -4.373, -6.093, -10.974 eV/atom